A geometry-optimized NaErMoF6 structure. Source: Alexandria via LeMat-Bulk, functional PBE+U.

Calculated values
As for the calculated volume: 15.5 A^3/atom. The total energy is -100.68 eV for the cell shown.

Cell: 5.714 5.714 9.898 Å, 90.00 90.00 120.00°
Element x y z (fractional)
Na1 0.000 0.000 0.500
Na2 0.000 0.000 0.000
F1 0.995 0.340 0.633
F2 0.660 0.005 0.867
F3 0.655 0.660 0.133
F4 0.655 0.995 0.367
F5 0.005 0.345 0.133
F6 0.005 0.660 0.367
F7 0.345 0.340 0.867
F8 0.995 0.655 0.867
F9 0.345 0.005 0.633
F10 0.340 0.345 0.367
F11 0.340 0.995 0.133
F12 0.660 0.655 0.633
Mo1 0.667 0.333 0.250
Mo2 0.333 0.667 0.750
Er1 0.667 0.333 0.750
Er2 0.333 0.667 0.250